Compound: Cs2Na6Au3
Source: Alexandria via LeMat-Bulk
Functional: PBE-GGA
Structure: optimized geometry

Cell: 9.4299 9.4299 5.0982 Å, 90.00 90.00 120.00°
Space group P-62m (No. 189)
Symmetry-distinct sites (fractional):
Cs1 0.3333 0.6667 0.0000 (multiplicity 2)
Na1 0.0000 0.2903 0.5000 (multiplicity 3)
Na2 0.0000 0.7882 0.0000 (multiplicity 3)
Au1 0.0000 0.6200 0.5000 (multiplicity 3)

ΔE_f = -0.163 eV per atom
E_tot = -1.931 eV/atom
Total moment = 0.0000 μB/atom